Entry 1:
A plane-wave DFT calculation with GGA-PBE was carried out for a geometry-optimized Li2ScSnO structure.

Results
DOS(E_F)   1.694 states/eV/cell
Symmetry   P4/mmm (123)
Raw formation energy   -1389 meV per atom
Total magnetization   0.00 μB/f.u.
Theoretical density   4.11 g/cm³

Unit cell a=4.3422 b=4.3422 c=4.1521 alpha=90.00 beta=90.00 gamma=90.00
Closest atoms and distances in Å follow each position.
Sites, in units of the cell vectors:
O  0.0000  0.0000  0.0000  2 Sc 2.08, 4 Li 2.17
Li  0.5000  0.0000  0.0000  2 O 2.17
Sn  0.5000  0.5000  0.5000  8 Li 3.00, 4 Sc 3.07
Sc  0.0000  0.0000  0.5000  2 O 2.08
Li  0.0000  0.5000  0.0000  2 O 2.17

=====

Entry 2:
A plane-wave DFT calculation with GGA-PBE was carried out for a geometry-optimized Pa4PSe4 structure.

Results
DOS(E_F)   14.265 states/eV/cell
Symmetry   C2/m (12)
Raw formation energy   -1336 meV per atom
Total magnetization   0.43 μB/f.u.
Theoretical density   9.28 g/cm³

Unit cell a=3.9814 b=6.9869 c=8.9181 alpha=75.84 beta=77.10 gamma=73.45
Closest atoms and distances in Å follow each position.
Sites, in units of the cell vectors:
Pa  0.3037  0.1019  0.2908  1 P 2.74, 5 Se 2.87-2.90
Se  0.6841  0.4146  0.2172  5 Pa 2.87-2.98
Se  0.9017  0.7933  0.4034  4 Pa 2.86-2.90
P  0.5000  0.0000  0.0000  6 Pa 2.74-2.77
Se  0.3159  0.5854  0.7828  5 Pa 2.87-2.98
Pa  0.0970  0.7141  0.0919  2 P 2.77, 4 Se 2.86-2.98
Pa  0.6963  0.8981  0.7092  1 P 2.74, 5 Se 2.87-2.90
Pa  0.9030  0.2859  0.9081  2 P 2.77, 4 Se 2.86-2.98
Se  0.0983  0.2067  0.5966  4 Pa 2.86-2.90

=====

Entry 3:
A plane-wave DFT calculation with GGA-PBE was carried out for a geometry-optimized La2Pm2Nd2Mg structure.

Results
DOS(E_F)   10.381 states/eV/cell
Symmetry   C2/m (12)
Formation energy   0.08 eV per atom
Total magnetization   0.00 μB/f.u.
Theoretical density   6.02 g/cm³

Unit cell a=3.7303 b=6.4665 c=11.8867 alpha=116.57 beta=90.00 gamma=106.76
Closest atoms and distances in Å follow each position.
Sites, in units of the cell vectors:
Pm  0.2535  0.5070  0.3755  2 Mg 3.28, 2 Pm 3.53, 3 La 3.60-3.64, 2 Nd 3.61
Pm  0.7465  0.4930  0.6245  2 Mg 3.28, 2 Pm 3.53, 3 La 3.60-3.64, 2 Nd 3.61
La  0.5314  0.0629  0.7493  2 Mg 3.37, 3 Nd 3.56-3.69, 3 Pm 3.60-3.64, 2 La 3.73
La  0.4686  0.9371  0.2507  2 Mg 3.37, 3 Nd 3.56-3.69, 3 Pm 3.60-3.64, 2 La 3.73
Mg  0.0000  0.0000  0.5000  4 Pm 3.28, 4 La 3.37
Nd  0.3214  0.6428  0.9118  4 La 3.56-3.90, 2 Pm 3.61, 5 Nd 3.73-3.91
Nd  0.6786  0.3572  0.0882  4 La 3.56-3.90, 2 Pm 3.61, 5 Nd 3.73-3.91

=====

Entry 4:
A plane-wave DFT calculation with GGA-PBE was carried out for a geometry-optimized KBiOs2O8 structure.

Results
DOS(E_F)   3.431 states/eV/cell
Symmetry   P-3 (147)
Raw formation energy   -1023 meV per atom
Total magnetization   3.87 μB/f.u.
Theoretical density   5.26 g/cm³

Unit cell a=5.8719 b=5.8719 c=8.0049 alpha=90.00 beta=90.00 gamma=120.00
Closest atoms and distances in Å follow each position.
Sites, in units of the cell vectors:
O  0.3395  0.2407  0.3083  1 Os 1.83
O  0.6605  0.7593  0.6917  1 Os 1.83
Os  0.6667  0.3333  0.2303  4 O 1.76-1.83
Bi  0.0000  0.0000  0.5000  6 O 2.35
O  0.6667  0.3333  0.0100  1 Os 1.76
O  0.7593  0.0988  0.3083  1 Os 1.83
O  0.3333  0.6667  0.9900  1 Os 1.76
O  0.0988  0.3395  0.6917  1 Os 1.83
O  0.9012  0.6605  0.3083  1 Os 1.83
O  0.2407  0.9012  0.6917  1 Os 1.83
Os  0.3333  0.6667  0.7697  4 O 1.76-1.83
K  0.0000  0.0000  0.0000  12 O 3.04-3.39

=====

Entry 5:
A plane-wave DFT calculation with GGA-PBE was carried out for a geometry-optimized BaBi2Mo structure.

Results
DOS(E_F)   5.066 states/eV/cell
Symmetry   I-42d (122)
Formation energy   0.36 eV per atom
Total magnetization   0.00 μB/f.u.
Theoretical density   6.55 g/cm³

Unit cell a=6.2509 b=6.2509 c=9.5363 alpha=70.87 beta=70.87 gamma=90.00
Closest atoms and distances in Å follow each position.
Sites, in units of the cell vectors:
Mo  0.2500  0.7500  0.5000  4 Bi 2.67
Bi  0.8750  0.6973  0.7500  2 Mo 2.67
Ba  0.0000  0.0000  0.0000  4 Bi 3.75
Ba  0.7500  0.2500  0.5000  4 Bi 3.75
Bi  0.3027  0.6250  0.2500  2 Mo 2.67
Bi  0.4473  0.1250  0.2500  2 Mo 2.67
Mo  0.5000  0.5000  0.0000  4 Bi 2.67
Bi  0.3750  0.5527  0.7500  2 Mo 2.67

=====

Entry 6:
A plane-wave DFT calculation with GGA-PBE was carried out for a geometry-optimized Hg5Mo structure.

Results
DOS(E_F)   3.233 states/eV/cell
Symmetry   P-6m2 (187)
Formation energy   0.37 eV per atom
Total magnetization   0.00 μB/f.u.
Theoretical density   13.23 g/cm³

Unit cell a=3.0464 b=3.0464 c=17.1583 alpha=90.00 beta=90.00 gamma=120.00
Closest atoms and distances in Å follow each position.
Sites, in units of the cell vectors:
Hg  0.0000  0.0000  0.0000  6 Hg 3.05
Mo  0.6667  0.3333  0.5000  6 Hg 2.95, 6 Mo 3.05
Hg  0.6667  0.3333  0.8115  6 Hg 3.05
Hg  0.0000  0.0000  0.6380  3 Mo 2.95, 6 Hg 3.05
Hg  0.6667  0.3333  0.1885  6 Hg 3.05
Hg  0.0000  0.0000  0.3620  3 Mo 2.95, 6 Hg 3.05

=====

Entry 7:
A plane-wave DFT calculation with GGA-PBE was carried out for a geometry-optimized Dy2MgCuO5 structure.

Results
Symmetry   P4/mbm (127)
Raw formation energy   -2326 meV per atom
Total magnetization   1.00 μB/f.u.
Theoretical density   7.20 g/cm³

Unit cell a=5.6090 b=6.3648 c=6.3648 alpha=90.00 beta=90.00 gamma=90.00
Closest atoms and distances in Å follow each position.
Sites, in units of the cell vectors:
Dy  0.5000  0.1714  0.3286  4 O 2.18-2.36
Cu  0.0000  0.5000  0.0000  4 O 1.89
O  0.7599  0.3520  0.1480  1 Cu 1.89
O  0.2401  0.1480  0.6480  1 Cu 1.89
O  0.7599  0.8520  0.3520  1 Cu 1.89
O  0.2401  0.3520  0.1480  1 Cu 1.89
Dy  0.5000  0.8286  0.6714  4 O 2.18-2.36
O  0.7599  0.6480  0.8520  1 Cu 1.89
Mg  0.0000  0.5000  0.5000  10 O 2.78-2.80
O  0.2401  0.6480  0.8520  1 Cu 1.89
Dy  0.5000  0.3286  0.8286  4 O 2.18-2.36
Dy  0.5000  0.6714  0.1714  4 O 2.18-2.36
Mg  0.0000  0.0000  0.0000  10 O 2.78-2.80
O  0.7599  0.1480  0.6480  1 Cu 1.89
Cu  0.0000  0.0000  0.5000  4 O 1.89
O  0.5000  0.5000  0.5000  4 Dy 2.36
O  0.5000  0.0000  0.0000  4 Dy 2.36
O  0.2401  0.8520  0.3520  1 Cu 1.89

=====

Entry 8:
A plane-wave DFT calculation with GGA-PBE was carried out for a geometry-optimized RbZr2Br8 structure.

Results
DOS(E_F)   8.723 states/eV/cell
Symmetry   C2/m (12)
Raw formation energy   -1320 meV per atom
Total magnetization   1.01 μB/f.u.
Theoretical density   3.01 g/cm³

Unit cell a=8.9489 b=8.3430 c=8.3430 alpha=57.02 beta=75.37 gamma=75.37
Closest atoms and distances in Å follow each position.
Sites, in units of the cell vectors:
Br  0.1893  0.3842  0.3842  1 Zr 2.52
Br  0.2148  0.3775  0.8821  1 Zr 2.53
Br  0.2148  0.8821  0.3775  1 Zr 2.53
Zr  0.6902  0.7941  0.7941  4 Br 2.52-2.54
Br  0.8107  0.6158  0.6158  1 Zr 2.52
Rb  0.0000  0.0000  0.0000  6 Br 3.65-3.68
Zr  0.3098  0.2059  0.2059  4 Br 2.52-2.54
Br  0.7852  0.6225  0.1179  1 Zr 2.53
Br  0.7852  0.1179  0.6225  1 Zr 2.53
Br  0.6053  0.1680  0.1680  1 Zr 2.54
Br  0.3947  0.8320  0.8320  1 Zr 2.54

=====

Entry 9:
A plane-wave DFT calculation with GGA-PBE was carried out for a geometry-optimized CrCdTcBr2 structure.

Results
DOS(E_F)   4.018 states/eV/cell
Symmetry   P4/mmm (123)
Raw formation energy   789 meV per atom
Total magnetization   3.13 μB/f.u.
Theoretical density   4.94 g/cm³

Unit cell a=5.0594 b=5.5413 c=5.0594 alpha=90.00 beta=90.00 gamma=90.00
Closest atoms and distances in Å follow each position.
Sites, in units of the cell vectors:
Br  0.0000  0.0000  0.5000  2 Tc 2.53
Cr  0.5000  0.5000  0.5000  4 Cd 3.58, 8 Br 3.75
Br  0.5000  0.0000  0.0000  2 Tc 2.53
Cd  0.0000  0.5000  0.0000  2 Tc 2.77
Tc  0.0000  0.0000  0.0000  4 Br 2.53, 2 Cd 2.77

=====

Entry 10:
A plane-wave DFT calculation with GGA-PBE was carried out for a geometry-optimized Pm2Si7Rh12 structure.

Results
DOS(E_F)   9.207 states/eV/cell
Symmetry   P-3 (147)
Raw formation energy   -956 meV per atom
Total magnetization   0.00 μB/f.u.
Theoretical density   8.91 g/cm³

Unit cell a=3.8792 b=9.7701 c=9.7701 alpha=120.00 beta=90.00 gamma=90.00
Closest atoms and distances in Å follow each position.
Sites, in units of the cell vectors:
Rh  0.7450  0.8577  0.1190  4 Si 2.37-2.48
Rh  0.7518  0.3807  0.9381  4 Si 2.42-2.51
Rh  0.2550  0.1190  0.2613  4 Si 2.37-2.48
Pm  0.2504  0.3333  0.6667  6 Si 3.11-3.12, 12 Rh 3.12-3.45
Si  0.7508  0.6017  0.8915  7 Rh 2.37-2.51
Rh  0.7518  0.5574  0.6193  4 Si 2.42-2.51
Rh  0.7450  0.8810  0.7387  4 Si 2.37-2.48
Rh  0.2550  0.7387  0.8577  4 Si 2.37-2.48
Rh  0.7450  0.2613  0.1423  4 Si 2.37-2.48
Rh  0.2482  0.9381  0.5574  4 Si 2.42-2.51
Pm  0.7496  0.6667  0.3333  6 Si 3.11-3.12, 12 Rh 3.12-3.45
Si  0.7508  0.1085  0.7102  7 Rh 2.37-2.51
Rh  0.7518  0.0619  0.4426  4 Si 2.42-2.51
Rh  0.2482  0.6193  0.0619  4 Si 2.42-2.51
Si  0.2492  0.3983  0.1085  7 Rh 2.37-2.51
Si  0.2492  0.7102  0.6017  7 Rh 2.37-2.51
Rh  0.2482  0.4426  0.3807  4 Si 2.42-2.51
Rh  0.2550  0.1423  0.8810  4 Si 2.37-2.48
Si  0.5000  0.0000  0.0000  6 Rh 2.41
Si  0.7508  0.2898  0.3983  7 Rh 2.37-2.51
Si  0.2492  0.8915  0.2898  7 Rh 2.37-2.51

=====

Which of these has the highest total magnetization? KBiOs2O8